[1]
Here is crystalline CaNpO5 at its relaxed geometry from Alexandria. Energies are from GGA-PBE.

Cell: 9.417 6.555 8.281 Å, 90.00 116.39 90.00°
Space group C2/c (No. 15)
Unique sites:
Ca (0.000, 0.043, 0.250) [4 per cell]
Np (0.000, 0.500, 0.000) [4 per cell]
O (0.000, 0.407, 0.250) [4 per cell]
O (0.007, 0.207, 0.965) [8 per cell]
O (0.223, 0.488, 0.614) [8 per cell]

As for the total energy: -8.120 eV/atom.

=====

[2]
Here is crystalline Ca5Np3O12 at its relaxed geometry from Alexandria. Energies are from GGA-PBE.

Cell: 13.612 13.612 13.612 Å, 90.00 90.00 90.00°
Space group Ia-3d (No. 230)
Unique sites:
Ca (0.000, 0.000, 0.000) [16 per cell]
Ca (0.000, 0.250, 0.375) [24 per cell]
Np (0.000, 0.250, 0.125) [24 per cell]
O (0.000, 0.048, 0.164) [96 per cell]

As for the total energy: -8.090 eV/atom.

=====

[3]
Here is crystalline CaNp2O11 at its relaxed geometry from Alexandria. Energies are from GGA-PBE.

Cell: 8.736 10.435 5.318 Å, 90.00 90.00 90.00°
Space group Cmmm (No. 65)
Unique sites:
Ca (0.000, 0.000, 0.000) [2 per cell]
Np (0.250, 0.250, 0.500) [4 per cell]
O (0.000, 0.351, 0.500) [4 per cell]
O (0.000, 0.500, 0.500) [2 per cell]
O (0.169, 0.140, 0.255) [16 per cell]

As for the total energy: -7.619 eV/atom.

=====

[4]
Here is crystalline Ca2NpO6 at its relaxed geometry from Alexandria. Energies are from GGA-PBE.

Cell: 3.923 5.488 10.929 Å, 90.00 90.00 90.00°
Space group Immm (No. 71)
Unique sites:
Ca (0.000, 0.000, 0.166) [4 per cell]
Np (0.000, 0.000, 0.500) [2 per cell]
O (0.000, 0.231, 0.355) [8 per cell]
O (0.000, 0.281, 0.000) [4 per cell]

As for the total energy: -7.762 eV/atom.

=====

[5]
Here is crystalline CaNpO4 at its relaxed geometry from Alexandria. Energies are from GGA-PBE.

Cell: 6.045 5.267 6.123 Å, 90.00 110.68 90.00°
Space group P2_1/c (No. 14)
Unique sites:
Ca (0.000, 0.000, 0.000) [2 per cell]
Np (0.500, 0.000, 0.500) [2 per cell]
O (0.193, 0.164, 0.385) [4 per cell]
O (0.363, 0.718, 0.693) [4 per cell]

As for the total energy: -8.785 eV/atom.

=====

[6]
Here is crystalline CaNpO4 at its relaxed geometry from Alexandria. Energies are from GGA-PBE.

Cell: 5.364 5.364 10.406 Å, 90.00 90.00 90.00°
Space group I4_1/amd (No. 141, origin choice 2)
Unique sites:
Ca (0.000, 0.250, 0.375) [4 per cell]
Np (0.000, 0.250, 0.875) [4 per cell]
O (0.223, 0.000, 0.000) [16 per cell]

As for the total energy: -8.641 eV/atom.

=====

[7]
Here is crystalline CaNpP2O8 at its relaxed geometry from Alexandria. Energies are from GGA-PBE.

Cell: 6.374 6.693 6.914 Å, 89.33 89.34 76.04°
Space group P-1 (No. 2)
Unique sites:
Ca (0.088, 0.211, 0.150) [2 per cell]
Np (0.386, 0.277, 0.669) [2 per cell]
P (0.117, 0.693, 0.343) [2 per cell]
P (0.393, 0.802, 0.833) [2 per cell]
O (0.002, 0.390, 0.822) [2 per cell]
O (0.064, 0.235, 0.503) [2 per cell]
O (0.194, 0.977, 0.880) [2 per cell]
O (0.235, 0.860, 0.279) [2 per cell]
O (0.307, 0.609, 0.797) [2 per cell]
O (0.312, 0.522, 0.416) [2 per cell]
O (0.433, 0.240, 0.006) [2 per cell]
O (0.499, 0.121, 0.349) [2 per cell]

As for the total energy: -8.135 eV/atom.

=====

[8]
Here is crystalline CaNpP2O8 at its relaxed geometry from Alexandria. Energies are from GGA-PBE.

Cell: 5.3640 5.3640 7.0342 Å, 90.00 90.00 120.00°
Space group P-3 (No. 147)
Unique sites:
Ca (0.0000, 0.0000, 0.0000) [1 per cell]
Np (0.0000, 0.0000, 0.5000) [1 per cell]
P (0.3333, 0.6667, 0.7955) [2 per cell]
O (0.1740, 0.3526, 0.7138) [6 per cell]
O (0.3333, 0.6667, 0.0094) [2 per cell]

As for the total energy: -8.063 eV/atom.

=====

[9]
Here is crystalline CaNpPb2O6 at its relaxed geometry from Alexandria. Energies are from GGA-PBE.

Cell: 5.927 6.178 10.435 Å, 90.00 124.03 90.00°
Space group P2_1/c (No. 14)
Unique sites:
Ca (0.000, 0.000, 0.000) [2 per cell]
Np (0.500, 0.000, 0.500) [2 per cell]
Pb (0.243, 0.043, 0.739) [4 per cell]
O (0.170, 0.174, 0.467) [4 per cell]
O (0.275, 0.722, 0.448) [4 per cell]
O (0.360, 0.042, 0.263) [4 per cell]

As for the total energy: -7.444 eV/atom.

=====

[10]
Here is crystalline Ca2NpPbO6 at its relaxed geometry from Alexandria. Energies are from GGA-PBE.

Cell: 5.9323 5.9323 15.7503 Å, 90.00 90.00 120.00°
Space group R3 (No. 146, hexagonal axes)
Unique sites:
Ca (0.0000, 0.0000, 0.0000) [3 per cell]
Ca (0.0000, 0.0000, 0.4854) [3 per cell]
Np (0.0000, 0.0000, 0.6948) [3 per cell]
Pb (0.0000, 0.0000, 0.2140) [3 per cell]
O (0.0085, 0.7320, 0.6100) [9 per cell]
O (0.0168, 0.3735, 0.4271) [9 per cell]

As for the total energy: -7.649 eV/atom.

=====

[11]
Here is crystalline Ca2NpPbO8 at its relaxed geometry from Alexandria. Energies are from GGA-PBE.

Cell: 5.100 7.072 5.121 Å, 90.00 93.64 90.00°
Space group P2/m (No. 10)
Unique sites:
Ca (0.000, 0.249, 0.000) [2 per cell]
Np (0.500, 0.500, 0.500) [1 per cell]
Pb (0.500, 0.000, 0.500) [1 per cell]
O (0.210, 0.000, 0.216) [2 per cell]
O (0.217, 0.500, 0.227) [2 per cell]
O (0.322, 0.281, 0.685) [4 per cell]

As for the total energy: -7.134 eV/atom.

=====

[12]
Here is crystalline CaNpPdO6 at its relaxed geometry from Alexandria. Energies are from GGA-PBE.

Cell: 5.3365 5.3365 10.3538 Å, 90.00 90.00 120.00°
Space group P-31c (No. 163)
Unique sites:
Ca (0.0000, 0.0000, 0.0000) [2 per cell]
Np (0.3333, 0.6667, 0.2500) [2 per cell]
Pd (0.3333, 0.6667, 0.7500) [2 per cell]
O (0.0056, 0.3584, 0.6408) [12 per cell]

As for the total energy: -7.615 eV/atom.

=====

Energy relative to the elements, uncorrected list, top to bottom, in eV per atom: -2.443, -2.674, -1.731, -2.574, -2.989, -2.845, -2.683, -2.610, -2.233, -2.609, -2.108, -2.072